VASP calculation (PBE+U) on a relaxed Li4Cr3Co3Ni2O16 crystal.

Cell and atoms, written as POSCAR:
```
Li4Cr3Co3Ni2O16
1.0
5.739 -0.001 -0.027
2.855 4.978 -0.026
-0.043 -0.024 9.601
Li Cr Co Ni O
4 3 3 2 16
direct
0.672 0.672 0.894
0.993 0.993 0.997
0.992 0.992 0.499
0.339 0.339 0.397
0.832 0.336 0.213
0.336 0.832 0.213
0.167 0.167 0.712
0.831 0.831 0.215
0.662 0.169 0.715
0.169 0.662 0.715
0.665 0.665 0.491
0.332 0.332 0.987
0.839 0.316 0.609
0.520 0.520 0.329
0.669 0.669 0.104
0.997 0.997 0.315
0.997 0.996 0.813
0.316 0.839 0.609
0.967 0.523 0.327
0.523 0.967 0.328
0.159 0.159 0.107
0.840 0.840 0.613
0.486 0.038 0.827
0.038 0.486 0.827
0.336 0.336 0.607
0.680 0.157 0.110
0.483 0.483 0.824
0.157 0.680 0.110
```

Results
VASP energy in eV per atom: -6.0199